20
Lattice="6.5545 -7.4692 0.0000 6.5545 7.4692 0.0000 -0.9512 0.0000 7.2189" Properties=species:S:1:pos:R:3 comment="CaLa3Os | the Alexandria database | GGA-PBE | relaxed" dos_ef_per_ev_fu=3.365 energy_ev_per_atom=-5.6334 ef_mev_per_atom=-31 sg=C2/c pbc="T T T"
Ca 4.0951 4.5780 6.4153
Ca 7.5870 4.5780 4.4130
Ca 4.5707 -4.5780 2.8059
Ca 8.0626 -4.5780 0.8036
La 0.9832 1.0361 4.5442
La 1.4588 -1.0361 0.9347
La 4.5901 2.7265 3.2569
La 4.8908 0.8900 0.1116
La 4.4152 -0.8900 3.7210
La 8.0433 2.7265 0.3526
La 4.1145 -2.7265 6.8663
La 7.7426 0.8900 3.4979
La 7.2670 -0.8900 7.1073
La 7.5676 -2.7265 3.9620
La 10.6990 1.0361 6.2841
La 11.1746 -1.0361 2.6747
Os 6.3167 4.4466 1.8047
Os 5.8411 1.1882 5.4142
Os 6.3167 -1.1882 1.8047
Os 5.8411 -4.4466 5.4142